Computed, not measured: a relaxed structure of HfZrAl2Fe2Ir2 at the PBE-GGA level of DFT.

Unit cell a=4.380 b=4.380 c=6.195 alpha=90.00 beta=90.00 gamma=90.00
Positions (direct):
Ir: 0.500 0.000 0.752
Ir: 0.000 0.500 0.248
Fe: 0.500 0.000 0.249
Fe: 0.000 0.500 0.751
Al: 0.000 0.000 0.500
Al: 0.500 0.500 0.000
Zr: 0.500 0.500 0.500
Hf: 0.000 0.000 0.000

- final energy (eV per atom) = -8.245
- total moment (μB/atom) = 0.00